Entry 1:
SrScNi2, optimized geometry, DFT GGA-PBE; relative energy among the computed polymorphs = 34 meV per atom; SG = R-3m, No. 166; crystal system = trigonal; formation energy = -143 meV/atom
1.0
2.178 1.258 5.441
-2.178 1.258 5.441
0.000 -2.515 5.441
Sr Sc Ni
1 1 2
Cartesian
0.000 0.000 0.000
0.000 0.000 8.162
0.000 0.000 3.226
0.000 0.000 13.097

***

Entry 2:
SrScNi, optimized geometry, DFT GGA-PBE; relative energy among the computed polymorphs = 100 meV per atom; SG = P3m1, No. 156; crystal system = trigonal; formation energy = 51 meV/atom
1.0
3.960 0.000 0.000
-1.980 3.429 0.000
0.000 0.000 6.319
Sr Sc Ni
1 1 1
Cartesian
0.000 0.000 0.000
0.000 2.286 3.045
1.980 1.143 1.959

***

Entry 3:
Sr2ScNi2, optimized geometry, DFT GGA-PBE; SG = P4/mbm, No. 127; crystal system = tetragonal; formation energy = 25 meV/atom
1.0
7.208 0.000 0.000
0.000 7.208 0.000
0.000 0.000 4.726
Sr Sc Ni
4 2 4
Cartesian
1.261 2.343 0.000
2.343 5.946 0.000
4.865 1.261 0.000
5.946 4.865 0.000
0.000 0.000 2.363
3.604 3.604 2.363
0.850 4.454 2.363
2.754 0.850 2.363
4.454 6.357 2.363
6.357 2.754 2.363

***

Entry 4:
SrScNi3, optimized geometry, DFT GGA-PBE; relative energy among the computed polymorphs = 901 meV per atom; SG = Pm-3m, No. 221; crystal system = cubic; formation energy = 1292 meV/atom
1.0
4.760 0.000 0.000
0.000 4.760 0.000
0.000 0.000 4.760
Sr Sc Ni
1 1 3
Cartesian
0.000 0.000 0.000
2.380 2.380 2.380
0.000 0.000 2.380
0.000 2.380 0.000
2.380 0.000 0.000

***

Entry 5:
SrScNi2, optimized geometry, DFT GGA-PBE; relative energy among the computed polymorphs = 256 meV per atom; SG = P4mm, No. 99; crystal system = tetragonal; formation energy = 79 meV/atom
1.0
3.344 0.000 0.000
0.000 3.344 0.000
0.000 0.000 7.547
Sr Sc Ni
1 1 2
Cartesian
0.000 0.000 0.000
1.672 1.672 4.386
0.000 0.000 3.066
1.672 1.672 2.038

***

Entry 6:
SrSc3Ni, optimized geometry, DFT GGA-PBE; relative energy among the computed polymorphs = 0 meV per atom; SG = Pm-3m, No. 221; crystal system = cubic; formation energy = -29 meV/atom
1.0
5.095 0.000 0.000
0.000 5.095 0.000
0.000 0.000 5.095
Sr Sc Ni
1 3 1
Cartesian
0.000 0.000 0.000
0.000 2.548 2.548
2.548 0.000 2.548
2.548 2.548 0.000
2.548 2.548 2.548

***

Entry 7:
SrScNi3, optimized geometry, DFT GGA-PBE; relative energy among the computed polymorphs = 0 meV per atom; SG = Pm-3m, No. 221; crystal system = cubic; formation energy = 391 meV/atom
1.0
4.707 0.000 0.000
0.000 4.707 0.000
0.000 0.000 4.707
Sr Sc Ni
1 1 3
Cartesian
0.000 0.000 0.000
2.353 2.353 2.353
0.000 2.353 2.353
2.353 0.000 2.353
2.353 2.353 0.000

***

Entry 8:
SrScNi2, optimized geometry, DFT GGA-PBE; relative energy among the computed polymorphs = 185 meV per atom; SG = P4/mmm, No. 123; crystal system = tetragonal; formation energy = 8 meV/atom
1.0
4.809 0.000 0.000
0.000 4.809 0.000
0.000 0.000 3.321
Sr Sc Ni
1 1 2
Cartesian
0.000 0.000 0.000
2.404 2.404 0.000
0.000 2.404 1.661
2.404 0.000 1.661

***

Which value of formation energy does entry 8 give?
8 meV/atom

***

Which formula does entry 1 have?
SrScNi2

***

Copy entry 8 word for word.
SrScNi2, optimized geometry, DFT GGA-PBE; relative energy among the computed polymorphs = 185 meV per atom; SG = P4/mmm, No. 123; crystal system = tetragonal; formation energy = 8 meV/atom
1.0
4.809 0.000 0.000
0.000 4.809 0.000
0.000 0.000 3.321
Sr Sc Ni
1 1 2
Cartesian
0.000 0.000 0.000
2.404 2.404 0.000
0.000 2.404 1.661
2.404 0.000 1.661